RbLiZn2 after structural relaxation, computed with GGA-PBEsol.

extended XYZ file:
```
16
Lattice="4.9395 0.0000 0.0000 0.0000 4.9395 0.0000 0.0000 0.0000 19.4231" Properties=species:S:1:pos:R:3 pbc="T T T"
Rb 0.0000 1.2349 7.2837
Rb 0.0000 3.7047 12.1394
Rb 2.4698 1.2349 2.4279
Rb 2.4698 3.7047 16.9952
Li 0.0000 1.2349 16.9952
Li 0.0000 3.7047 2.4279
Li 2.4698 1.2349 12.1394
Li 2.4698 3.7047 7.2837
Zn 0.0000 0.0000 0.0000
Zn 0.0000 2.4698 0.0000
Zn 1.2349 1.2349 14.5673
Zn 1.2349 3.7047 4.8558
Zn 2.4698 0.0000 9.7115
Zn 2.4698 2.4698 9.7115
Zn 3.7047 1.2349 14.5673
Zn 3.7047 3.7047 4.8558
```

Properties
energy of formation: 232 meV per atom
energy above the most stable polymorph in this dataset: 0.0 meV/atom
DOS(E_F): 7.10 states/eV/cell